Material: CaAcGa2Rh2
Method: DFT, PBE-GGA
State: relaxed

```
data_CaAcGa2Rh2
_cell_length_a 4.348
_cell_length_b 4.348
_cell_length_c 8.264
_cell_angle_alpha 90.00
_cell_angle_beta 90.00
_cell_angle_gamma 120.00
_space_group_name_H-M_alt 'P 1'
_space_group_IT_number 1
loop_
_space_group_symop_operation_xyz
'x,y,z'
loop_
_atom_site_label
_atom_site_fract_x
_atom_site_fract_y
_atom_site_fract_z
Ga1 0.333 0.667 0.276
Ga2 0.667 0.333 0.724
Ca1 0.000 0.000 0.500
Rh1 0.333 0.667 0.750
Rh2 0.667 0.333 0.250
Ac1 0.000 0.000 0.000
```

Its density is 7.515 g/cm³. The raw total energy comes out at -5.16 eV per atom. Its crystal system is trigonal. The space group is P-3m1, No. 164. The calculation puts the magnetization at 0.000 μB/f.u. As for the formation energy: -0.679 eV/atom.